[1]
# CsCuIN2

A PBEsol-optimized structure of CsCuIN2 (meta-GGA SCAN, the Alexandria database).

Calculated density   4323 kg/m³
Calculated volume   27.00 Å³/atom
Energy relative to the elements, uncorrected   2.2815 eV per atom
Magnetization   1.90 μB/cell
Energy relative to the lowest polymorph listed for this composition   1.152 eV/atom

Structure (CIF):
```
data_CsCuIN2
_cell_length_a 4.2931
_cell_length_b 4.2931
_cell_length_c 7.3234
_cell_angle_alpha 90.00
_cell_angle_beta 90.00
_cell_angle_gamma 90.00
_space_group_name_H-M_alt 'P 4/m m m'
_space_group_IT_number 123
_space_group_name_Hall '-P 4 2'
loop_
_atom_site_label
_atom_site_type_symbol
_atom_site_fract_x
_atom_site_fract_y
_atom_site_fract_z
Cs1 Cs 0.0000 0.0000 0.0000
Cu1 Cu 0.5000 0.5000 0.5000
I1 I 0.0000 0.0000 0.5000
N1 N 0.0000 0.5000 0.0000
```


[2]
# CsCuIN2

A PBEsol-optimized structure of CsCuIN2 (meta-GGA SCAN, the Alexandria database).

Calculated density   5089 kg/m³
Calculated volume   22.93 Å³/atom
Energy relative to the elements, uncorrected   1.1294 eV per atom
Magnetization   4.94 μB/cell
Energy relative to the lowest polymorph listed for this composition   0.000 eV/atom

Structure (CIF):
```
data_CsCuIN2
_cell_length_a 4.6618
_cell_length_b 4.6618
_cell_length_c 5.2756
_cell_angle_alpha 90.00
_cell_angle_beta 90.00
_cell_angle_gamma 90.00
_space_group_name_H-M_alt 'P 4/m m m'
_space_group_IT_number 123
_space_group_name_Hall '-P 4 2'
loop_
_atom_site_label
_atom_site_type_symbol
_atom_site_fract_x
_atom_site_fract_y
_atom_site_fract_z
Cs1 Cs 0.0000 0.0000 0.0000
Cu1 Cu 0.5000 0.5000 0.5000
I1 I 0.5000 0.5000 0.0000
N1 N 0.0000 0.5000 0.5000
```


[3]
# Cs4K2CuSi2O8

A PBEsol-optimized structure of Cs4K2CuSi2O8 (meta-GGA SCAN, the Alexandria database).

Calculated density   4340 kg/m³
Calculated volume   19.30 Å³/atom
Energy relative to the elements, uncorrected   -2.1927 eV per atom
Magnetization   2.00 μB/cell

Structure (CIF):
```
data_Cs4K2CuSi2O8
_cell_length_a 10.4080
_cell_length_b 10.4080
_cell_length_c 6.0572
_cell_angle_alpha 90.00
_cell_angle_beta 90.00
_cell_angle_gamma 90.00
_space_group_name_H-M_alt 'P 42/m n m'
_space_group_IT_number 136
_space_group_name_Hall '-P 4n 2n'
loop_
_atom_site_label
_atom_site_type_symbol
_atom_site_fract_x
_atom_site_fract_y
_atom_site_fract_z
Cs1 Cs 0.1139 0.3617 0.0000
K1 K 0.1026 0.8974 0.0000
Cu1 Cu 0.0000 0.0000 0.5000
Si1 Si 0.1766 0.1766 0.5000
O1 O 0.1018 0.1018 0.2900
O2 O 0.1480 0.3314 0.5000
```


What did the third record say?
# Cs4K2CuSi2O8

A PBEsol-optimized structure of Cs4K2CuSi2O8 (meta-GGA SCAN, the Alexandria database).

Calculated density   4340 kg/m³
Calculated volume   19.30 Å³/atom
Energy relative to the elements, uncorrected   -2.1927 eV per atom
Magnetization   2.00 μB/cell

Structure (CIF):
```
data_Cs4K2CuSi2O8
_cell_length_a 10.4080
_cell_length_b 10.4080
_cell_length_c 6.0572
_cell_angle_alpha 90.00
_cell_angle_beta 90.00
_cell_angle_gamma 90.00
_space_group_name_H-M_alt 'P 42/m n m'
_space_group_IT_number 136
_space_group_name_Hall '-P 4n 2n'
loop_
_atom_site_label
_atom_site_type_symbol
_atom_site_fract_x
_atom_site_fract_y
_atom_site_fract_z
Cs1 Cs 0.1139 0.3617 0.0000
K1 K 0.1026 0.8974 0.0000
Cu1 Cu 0.0000 0.0000 0.5000
Si1 Si 0.1766 0.1766 0.5000
O1 O 0.1018 0.1018 0.2900
O2 O 0.1480 0.3314 0.5000
```


- Which value of calculated density does entry 3 give?
  4340 kg/m³